The following is a DFT calculation (PBE) of NiC3 after structural relaxation.

a b c (Å): 4.062 4.062 4.062
angles (deg): 132.69 88.30 110.58
Atoms (fractional coordinates):
Ni 0.000 0.000 0.000
C 0.458 0.182 0.276
C 0.712 0.212 0.500
C 0.907 0.182 0.724

- total energy (eV/cell) = -28.3
- space-group type = No. 44
- DFT formation energy (kJ per mole of atoms) = 124.30
- energy above the lowest structure with this stoichiometry (eV per formula unit) = 2.54
- magnetization (μB/f.u.) = 0.00